1.
First-principles (PBE) data for NdSm15Tl4 after structural relaxation, as listed in Alexandria via LeMat-Bulk.

Symmetry = P4/mmm, No. 123
Crystal system = tetragonal

a = 4.9437 Å, b = 4.9437 Å, c = 25.3146 Å
α = 90.00°, β = 90.00°, γ = 90.00°
Last column: nearest neighbours and their distance in Å.
Fractional coordinates of all 20 atoms:
1 Nd 0.0000 0.0000 0.0000  12 Sm 3.50-3.65
2 Sm 0.0000 0.5000 0.1063  8 Sm 3.50-3.65, 2 Tl 3.54, 2 Nd 3.65
3 Sm 0.0000 0.5000 0.3037  4 Tl 3.49-3.51, 8 Sm 3.50
4 Sm 0.0000 0.5000 0.5000  8 Sm 3.50-3.51, 4 Tl 3.50
5 Sm 0.0000 0.5000 0.6963  4 Tl 3.49-3.51, 8 Sm 3.50
6 Sm 0.0000 0.5000 0.8937  8 Sm 3.50-3.65, 2 Tl 3.54, 2 Nd 3.65
7 Sm 0.5000 0.0000 0.1063  8 Sm 3.50-3.65, 2 Tl 3.54, 2 Nd 3.65
8 Sm 0.5000 0.0000 0.3037  4 Tl 3.49-3.51, 8 Sm 3.50
9 Sm 0.5000 0.0000 0.5000  8 Sm 3.50-3.51, 4 Tl 3.50
10 Sm 0.5000 0.0000 0.6963  4 Tl 3.49-3.51, 8 Sm 3.50
11 Sm 0.5000 0.0000 0.8937  8 Sm 3.50-3.65, 2 Tl 3.54, 2 Nd 3.65
12 Sm 0.5000 0.5000 0.0000  4 Nd 3.50, 8 Sm 3.65
13 Sm 0.5000 0.5000 0.2060  4 Tl 3.50, 8 Sm 3.50-3.53
14 Sm 0.5000 0.5000 0.4018  4 Tl 3.50, 8 Sm 3.50-3.51
15 Sm 0.5000 0.5000 0.5982  4 Tl 3.50, 8 Sm 3.50-3.51
16 Sm 0.5000 0.5000 0.7940  4 Tl 3.50, 8 Sm 3.50-3.53
17 Tl 0.0000 0.0000 0.2066  12 Sm 3.49-3.54
18 Tl 0.0000 0.0000 0.4022  12 Sm 3.50-3.51
19 Tl 0.0000 0.0000 0.5978  12 Sm 3.50-3.51
20 Tl 0.0000 0.0000 0.7934  12 Sm 3.49-3.54

---

2.
First-principles (PBE) data for Nd9Sm4Tl11 after structural relaxation, as listed in Alexandria via LeMat-Bulk.

Symmetry = Cmmm, No. 65
Crystal system = orthorhombic

a = 14.1329 Å, b = 14.1329 Å, c = 3.6405 Å
α = 90.00°, β = 90.00°, γ = 100.14°
Last column: nearest neighbours and their distance in Å.
Fractional coordinates of all 24 atoms:
1 Nd 0.0000 0.0000 0.0000  4 Sm 3.31, 4 Tl 3.48, 2 Nd 3.64
2 Nd 0.1217 0.6425 0.0000  8 Tl 3.39-3.58, 1 Sm 3.43, 3 Nd 3.64-3.73
3 Nd 0.2933 0.4698 0.0000  8 Tl 3.36-3.43, 3 Nd 3.64-3.73
4 Nd 0.3575 0.8783 0.0000  8 Tl 3.39-3.58, 1 Sm 3.43, 3 Nd 3.64-3.73
5 Nd 0.4698 0.2933 0.0000  8 Tl 3.36-3.43, 3 Nd 3.64-3.73
6 Nd 0.5302 0.7067 0.0000  8 Tl 3.36-3.43, 3 Nd 3.64-3.73
7 Nd 0.6425 0.1217 0.0000  8 Tl 3.39-3.58, 1 Sm 3.43, 3 Nd 3.64-3.73
8 Nd 0.7067 0.5302 0.0000  8 Tl 3.36-3.43, 3 Nd 3.64-3.73
9 Nd 0.8783 0.3575 0.0000  8 Tl 3.39-3.58, 1 Sm 3.43, 3 Nd 3.64-3.73
10 Sm 0.0689 0.2366 0.0000  6 Tl 3.29-3.51, 2 Nd 3.31-3.43, 3 Sm 3.64
11 Sm 0.2366 0.0689 0.0000  6 Tl 3.29-3.51, 2 Nd 3.31-3.43, 3 Sm 3.64
12 Sm 0.7634 0.9311 0.0000  6 Tl 3.29-3.51, 2 Nd 3.31-3.43, 3 Sm 3.64
13 Sm 0.9311 0.7634 0.0000  6 Tl 3.29-3.51, 2 Nd 3.31-3.43, 3 Sm 3.64
14 Tl 0.0843 0.4328 0.5000  2 Sm 3.29, 3 Tl 3.30-3.64, 6 Nd 3.43-3.44
15 Tl 0.1369 0.8631 0.5000  6 Nd 3.48-3.58, 4 Sm 3.51, 2 Tl 3.64
16 Tl 0.2656 0.2656 0.5000  4 Sm 3.29, 4 Nd 3.38, 2 Tl 3.64
17 Tl 0.3270 0.6730 0.5000  8 Nd 3.36-3.39, 3 Tl 3.64-3.75
18 Tl 0.4328 0.0843 0.5000  2 Sm 3.29, 3 Tl 3.30-3.64, 6 Nd 3.43-3.44
19 Tl 0.5000 0.5000 0.5000  8 Nd 3.40, 4 Tl 3.64-3.75
20 Tl 0.5672 0.9157 0.5000  2 Sm 3.29, 3 Tl 3.30-3.64, 6 Nd 3.43-3.44
21 Tl 0.6730 0.3270 0.5000  8 Nd 3.36-3.39, 3 Tl 3.64-3.75
22 Tl 0.7344 0.7344 0.5000  4 Sm 3.29, 4 Nd 3.38, 2 Tl 3.64
23 Tl 0.8631 0.1369 0.5000  6 Nd 3.48-3.58, 4 Sm 3.51, 2 Tl 3.64
24 Tl 0.9157 0.5672 0.5000  2 Sm 3.29, 3 Tl 3.30-3.64, 6 Nd 3.43-3.44

---

3.
First-principles (PBE) data for Nd15SmTl4 after structural relaxation, as listed in Alexandria via LeMat-Bulk.

Symmetry = P4/mmm, No. 123
Crystal system = tetragonal

a = 4.9941 Å, b = 4.9941 Å, c = 25.6048 Å
α = 90.00°, β = 90.00°, γ = 90.00°
Last column: nearest neighbours and their distance in Å.
Fractional coordinates of all 20 atoms:
1 Nd 0.0000 0.0000 0.0000  4 Sm 3.53, 8 Nd 3.68
2 Nd 0.0000 0.0000 0.2054  4 Tl 3.53, 8 Nd 3.55-3.57
3 Nd 0.0000 0.0000 0.4017  4 Tl 3.53, 8 Nd 3.54-3.55
4 Nd 0.0000 0.0000 0.5983  4 Tl 3.53, 8 Nd 3.54-3.55
5 Nd 0.0000 0.0000 0.7946  4 Tl 3.53, 8 Nd 3.55-3.57
6 Nd 0.0000 0.5000 0.1056  8 Nd 3.53-3.68, 2 Tl 3.59, 2 Sm 3.68
7 Nd 0.0000 0.5000 0.3036  4 Tl 3.53-3.55, 8 Nd 3.53-3.55
8 Nd 0.0000 0.5000 0.5000  8 Nd 3.53-3.55, 4 Tl 3.54
9 Nd 0.0000 0.5000 0.6964  4 Tl 3.53-3.55, 8 Nd 3.53-3.55
10 Nd 0.0000 0.5000 0.8944  8 Nd 3.53-3.68, 2 Tl 3.59, 2 Sm 3.68
11 Nd 0.5000 0.0000 0.1056  8 Nd 3.53-3.68, 2 Tl 3.59, 2 Sm 3.68
12 Nd 0.5000 0.0000 0.3036  4 Tl 3.53-3.55, 8 Nd 3.53-3.55
13 Nd 0.5000 0.0000 0.5000  8 Nd 3.53-3.55, 4 Tl 3.54
14 Nd 0.5000 0.0000 0.6964  4 Tl 3.53-3.55, 8 Nd 3.53-3.55
15 Nd 0.5000 0.0000 0.8944  8 Nd 3.53-3.68, 2 Tl 3.59, 2 Sm 3.68
16 Sm 0.5000 0.5000 0.0000  12 Nd 3.53-3.68
17 Tl 0.5000 0.5000 0.2062  12 Nd 3.53-3.59
18 Tl 0.5000 0.5000 0.4019  12 Nd 3.53-3.55
19 Tl 0.5000 0.5000 0.5981  12 Nd 3.53-3.55
20 Tl 0.5000 0.5000 0.7938  12 Nd 3.53-3.59

---

4.
First-principles (PBE) data for Nd4SmTl5 after structural relaxation, as listed in Alexandria via LeMat-Bulk.

Symmetry = P4/mmm, No. 123
Crystal system = tetragonal

a = 3.8833 Å, b = 3.8833 Å, c = 19.6121 Å
α = 90.00°, β = 90.00°, γ = 90.00°
Last column: nearest neighbours and their distance in Å.
Fractional coordinates of all 10 atoms:
1 Nd 0.0000 0.0000 0.1005  8 Tl 3.38
2 Nd 0.0000 0.0000 0.3017  8 Tl 3.38-3.39
3 Nd 0.0000 0.0000 0.6983  8 Tl 3.38-3.39
4 Nd 0.0000 0.0000 0.8995  8 Tl 3.38
5 Sm 0.0000 0.0000 0.5000  8 Tl 3.34
6 Tl 0.5000 0.5000 0.0000  8 Nd 3.38
7 Tl 0.5000 0.5000 0.2011  8 Nd 3.38
8 Tl 0.5000 0.5000 0.4027  4 Sm 3.34, 4 Nd 3.39
9 Tl 0.5000 0.5000 0.5973  4 Sm 3.34, 4 Nd 3.39
10 Tl 0.5000 0.5000 0.7989  8 Nd 3.38

---

5.
First-principles (PBE) data for Nd2Sm3Tl after structural relaxation, as listed in Alexandria via LeMat-Bulk.

Symmetry = Cmmm, No. 65
Crystal system = orthorhombic

a = 8.1672 Å, b = 8.1672 Å, c = 4.9848 Å
α = 90.00°, β = 90.00°, γ = 144.67°
Last column: nearest neighbours and their distance in Å.
Fractional coordinates of all 6 atoms:
1 Nd 0.1624 0.8376 0.0000  8 Sm 3.52-3.67, 2 Tl 3.54, 2 Nd 3.68
2 Nd 0.8376 0.1624 0.0000  8 Sm 3.52-3.67, 2 Tl 3.54, 2 Nd 3.68
3 Sm 0.0000 0.0000 0.5000  4 Tl 3.51, 4 Nd 3.55, 4 Sm 3.56
4 Sm 0.3354 0.6646 0.5000  6 Nd 3.52-3.67, 4 Sm 3.56-3.63, 2 Tl 3.57
5 Sm 0.6646 0.3354 0.5000  6 Nd 3.52-3.67, 4 Sm 3.56-3.63, 2 Tl 3.57
6 Tl 0.5000 0.5000 0.0000  8 Sm 3.51-3.57, 4 Nd 3.54

---

6.
First-principles (PBE) data for Nd3Sm3Tl2 after structural relaxation, as listed in Alexandria via LeMat-Bulk.

Symmetry = Pmmm, No. 47
Crystal system = orthorhombic

a = 4.9688 Å, b = 4.9892 Å, c = 9.9057 Å
α = 90.00°, β = 90.00°, γ = 90.00°
Last column: nearest neighbours and their distance in Å.
Fractional coordinates of all 8 atoms:
1 Nd 0.0000 0.0000 0.0000  4 Nd 3.51, 4 Sm 3.52, 4 Tl 3.53
2 Nd 0.5000 0.0000 0.2501  6 Sm 3.51-3.52, 2 Nd 3.51, 4 Tl 3.52
3 Nd 0.5000 0.0000 0.7499  6 Sm 3.51-3.52, 2 Nd 3.51, 4 Tl 3.52
4 Sm 0.0000 0.0000 0.5000  4 Tl 3.50, 4 Nd 3.51, 4 Sm 3.52
5 Sm 0.5000 0.5000 0.0000  8 Nd 3.52, 4 Tl 3.52
6 Sm 0.5000 0.5000 0.5000  4 Tl 3.50, 4 Nd 3.51, 4 Sm 3.52
7 Tl 0.0000 0.5000 0.2518  6 Sm 3.50-3.52, 6 Nd 3.52-3.53
8 Tl 0.0000 0.5000 0.7482  6 Sm 3.50-3.52, 6 Nd 3.52-3.53

---

7.
First-principles (PBE) data for Nd2SmTl3 after structural relaxation, as listed in Alexandria via LeMat-Bulk.

Symmetry = Cmcm, No. 63
Crystal system = orthorhombic

a = 14.8445 Å, b = 14.8445 Å, c = 6.8138 Å
α = 90.00°, β = 90.00°, γ = 165.38°
Last column: nearest neighbours and their distance in Å.
Fractional coordinates of all 12 atoms:
1 Nd 0.0062 0.9938 0.7500  8 Tl 3.32-3.50, 2 Nd 3.43
2 Nd 0.1520 0.8480 0.2500  6 Tl 3.29-3.33
3 Nd 0.8480 0.1520 0.7500  6 Tl 3.29-3.33
4 Nd 0.9938 0.0062 0.2500  8 Tl 3.32-3.50, 2 Nd 3.43
5 Sm 0.3313 0.6687 0.2500  4 Tl 3.20-3.23
6 Sm 0.6687 0.3313 0.7500  4 Tl 3.20-3.23
7 Tl 0.2564 0.7436 0.7500  2 Sm 3.20, 2 Nd 3.29
8 Tl 0.4231 0.5769 0.5107  1 Sm 3.23, 2 Tl 3.26-3.55, 6 Nd 3.32-3.50
9 Tl 0.4231 0.5769 0.9893  1 Sm 3.23, 2 Tl 3.26-3.55, 6 Nd 3.32-3.50
10 Tl 0.5769 0.4231 0.0107  1 Sm 3.23, 2 Tl 3.26-3.55, 6 Nd 3.32-3.50
11 Tl 0.5769 0.4231 0.4893  1 Sm 3.23, 2 Tl 3.26-3.55, 6 Nd 3.32-3.50
12 Tl 0.7436 0.2564 0.2500  2 Sm 3.20, 2 Nd 3.29

---

8.
First-principles (PBE) data for Nd3Sm7Tl2 after structural relaxation, as listed in Alexandria via LeMat-Bulk.

Symmetry = P2/m, No. 10
Crystal system = monoclinic

a = 5.8000 Å, b = 3.6721 Å, c = 18.7241 Å
α = 90.00°, β = 93.61°, γ = 90.00°
Last column: nearest neighbours and their distance in Å.
Fractional coordinates of all 12 atoms:
1 Nd 0.0000 0.0000 0.0000  10 Sm 3.43-3.75, 2 Nd 3.67
2 Nd 0.2778 0.5000 0.6399  4 Tl 3.64, 2 Nd 3.67, 8 Sm 3.77-4.03
3 Nd 0.7222 0.5000 0.3601  4 Tl 3.64, 2 Nd 3.67, 8 Sm 3.77-4.03
4 Sm 0.1762 0.5000 0.1526  2 Tl 3.24, 5 Sm 3.44-3.52, 2 Nd 3.49
5 Sm 0.2419 0.0000 0.4638  1 Tl 3.14, 2 Sm 3.19-3.21
6 Sm 0.3210 0.0000 0.8320  8 Sm 3.44-3.73, 2 Tl 3.74-3.77, 1 Nd 3.75
7 Sm 0.5000 0.5000 0.0000  4 Nd 3.43, 8 Sm 3.52-3.73
8 Sm 0.6790 0.0000 0.1680  8 Sm 3.44-3.73, 2 Tl 3.74-3.77, 1 Nd 3.75
9 Sm 0.7581 0.0000 0.5362  1 Tl 3.14, 2 Sm 3.19-3.21
10 Sm 0.8238 0.5000 0.8474  2 Tl 3.24, 5 Sm 3.44-3.52, 2 Nd 3.49
11 Tl 0.2086 0.0000 0.2956  3 Sm 3.14-3.24
12 Tl 0.7914 0.0000 0.7044  3 Sm 3.14-3.24

---

Record-wise ΔE_f values, in eV/atom: -0.15, -0.31, -0.16, -0.39, -0.10, -0.20, -0.25, -0.03
Record-wise spin magnetization values, in μB/f.u.: 0.0, 0.0, 0.0, 0.0, 0.0, 0.9, 0.0, 0.0